No. 1
Here is a relaxed Cr2AsPb crystal from Alexandria via LeMat-Bulk. Energies are from PBE.

Values from the calculation:
- V: 18.5 Å³/atom
- Energy of formation: 0.219 eV per atom
- Electronic total energy: -6.682 eV per atom
- Energy above the lowest structure with this stoichiometry: 0.0000 eV per atom

Cell: 3.075 3.075 7.834 Å, 90.00 90.00 90.00°
Element x y z (fractional)
Cr 0.000 0.000 0.000
Cr 0.500 0.500 0.148
As 0.500 0.500 0.814
Pb 0.000 0.000 0.417

No. 2
Here is a relaxed Lu3CoSn crystal from Alexandria via LeMat-Bulk. Energies are from PBE.

Values from the calculation:
- V: 25.2 Å³/atom
- Energy of formation: -0.309 eV per atom
- Electronic total energy: -5.243 eV per atom

Cell: 5.014 5.014 5.014 Å, 90.00 90.00 90.00°
Element x y z (fractional)
Lu 0.000 0.000 0.500
Lu 0.000 0.500 0.000
Lu 0.500 0.000 0.000
Co 0.000 0.000 0.000
Sn 0.500 0.500 0.500

No. 3
Here is a relaxed YAlNi crystal from Alexandria via LeMat-Bulk. Energies are from PBE.

Values from the calculation:
- V: 18.6 Å³/atom
- Energy of formation: -0.374 eV per atom
- Electronic total energy: -5.704 eV per atom

Cell: 6.731 6.731 4.272 Å, 90.00 90.00 120.00°
Element x y z (fractional)
Y 0.000 0.441 0.000
Y 0.441 0.000 0.000
Y 0.559 0.559 0.000
Al 0.000 0.000 0.000
Al 0.333 0.667 0.500
Al 0.667 0.333 0.500
Ni 0.000 0.772 0.500
Ni 0.228 0.228 0.500
Ni 0.772 0.000 0.500

No. 4
Here is a relaxed Sr2TcNiC crystal from Alexandria via LeMat-Bulk. Energies are from PBE.

Values from the calculation:
- V: 25.6 Å³/atom
- Energy of formation: 0.921 eV per atom
- Electronic total energy: -4.826 eV per atom

Cell: 5.753 5.753 3.869 Å, 90.00 90.00 90.00°
Element x y z (fractional)
Sr 0.000 0.500 0.000
Sr 0.500 0.000 0.000
Tc 0.000 0.000 0.000
Ni 0.500 0.500 0.500
C 0.000 0.000 0.500

No. 5
Here is a relaxed CsK7Na4 crystal from Alexandria via LeMat-Bulk. Energies are from PBE.

Values from the calculation:
- V: 64.2 Å³/atom
- Energy of formation: 0.058 eV per atom
- Electronic total energy: -1.093 eV per atom

Cell: 9.922 9.922 13.500 Å, 121.44 121.44 44.60°
Element x y z (fractional)
Cs 0.000 0.000 0.000
K 0.066 0.066 0.400
K 0.219 0.219 0.885
K 0.304 0.304 0.359
K 0.500 0.500 0.000
K 0.696 0.696 0.641
K 0.781 0.781 0.115
K 0.934 0.934 0.600
Na 0.318 0.318 0.663
Na 0.456 0.456 0.248
Na 0.544 0.544 0.752
Na 0.682 0.682 0.337

No. 6
Here is a relaxed LiPmYRh crystal from Alexandria via LeMat-Bulk. Energies are from PBE.

Values from the calculation:
- V: 22.2 Å³/atom
- Energy of formation: -0.421 eV per atom
- Electronic total energy: -5.541 eV per atom

Cell: 7.084 7.084 7.084 Å, 90.00 90.00 90.00°
Element x y z (fractional)
Li 0.000 0.000 0.000
Li 0.000 0.500 0.500
Li 0.500 0.000 0.500
Li 0.500 0.500 0.000
Pm 0.250 0.250 0.250
Pm 0.250 0.750 0.750
Pm 0.750 0.250 0.750
Pm 0.750 0.750 0.250
Y 0.250 0.250 0.750
Y 0.250 0.750 0.250
Y 0.750 0.250 0.250
Y 0.750 0.750 0.750
Rh 0.000 0.000 0.500
Rh 0.000 0.500 0.000
Rh 0.500 0.000 0.000
Rh 0.500 0.500 0.500

No. 7
Here is a relaxed Er3Tm2S8 crystal from Alexandria via LeMat-Bulk. Energies are from PBE.

Values from the calculation:
- V: 25.3 Å³/atom
- Formation energy (no corrections): -1.88 eV/atom
- Electronic total energy: -6.156 eV per atom

Cell: 7.813 7.813 6.616 Å, 107.29 107.29 59.98°
Element x y z (fractional)
Er 0.000 0.000 0.000
Er 0.263 0.737 0.500
Er 0.737 0.263 0.500
Tm 0.261 0.261 0.841
Tm 0.739 0.739 0.159
S 0.110 0.640 0.085
S 0.118 0.118 0.429
S 0.360 0.890 0.915
S 0.382 0.382 0.595
S 0.618 0.618 0.405
S 0.640 0.110 0.085
S 0.882 0.882 0.571
S 0.890 0.360 0.915

No. 8
Here is a relaxed NaLiGaSi crystal from Alexandria via LeMat-Bulk. Energies are from PBE.

Values from the calculation:
- V: 18.2 Å³/atom
- Formation energy (no corrections): 0.04 eV/atom
- Electronic total energy: -2.884 eV per atom
- Energy above the lowest structure with this stoichiometry: 0.0836 eV per atom

Cell: 6.623 6.623 6.623 Å, 90.00 90.00 90.00°
Element x y z (fractional)
Na 0.000 0.000 0.000
Na 0.000 0.500 0.500
Na 0.500 0.000 0.500
Na 0.500 0.500 0.000
Li 0.250 0.250 0.250
Li 0.250 0.750 0.750
Li 0.750 0.250 0.750
Li 0.750 0.750 0.250
Ga 0.250 0.250 0.750
Ga 0.250 0.750 0.250
Ga 0.750 0.250 0.250
Ga 0.750 0.750 0.750
Si 0.000 0.000 0.500
Si 0.000 0.500 0.000
Si 0.500 0.000 0.000
Si 0.500 0.500 0.500

No. 9
Here is a relaxed ScP3Ru crystal from Alexandria via LeMat-Bulk. Energies are from PBE.

Values from the calculation:
- V: 22.2 Å³/atom
- Energy of formation: 1.097 eV per atom
- Electronic total energy: -5.271 eV per atom
- Energy above the lowest structure with this stoichiometry: 0.8580 eV per atom

Cell: 4.807 4.807 4.807 Å, 90.00 90.00 90.00°
Element x y z (fractional)
Sc 0.000 0.000 0.000
P 0.000 0.000 0.500
P 0.000 0.500 0.000
P 0.500 0.000 0.000
Ru 0.500 0.500 0.500

No. 10
Here is a relaxed Sc6ZnAg3 crystal from Alexandria via LeMat-Bulk. Energies are from PBE.

Values from the calculation:
- V: 20.7 Å³/atom
- Energy of formation: -0.199 eV per atom
- Electronic total energy: -4.981 eV per atom

Cell: 8.298 4.915 10.800 Å, 90.00 109.83 90.00°
Element x y z (fractional)
Sc 0.021 0.250 0.406
Sc 0.166 0.750 0.181
Sc 0.256 0.250 0.009
Sc 0.351 0.750 0.820
Sc 0.377 0.250 0.343
Sc 0.387 0.250 0.631
Sc 0.613 0.750 0.369
Sc 0.623 0.750 0.657
Sc 0.649 0.250 0.180
Sc 0.744 0.750 0.991
Sc 0.834 0.250 0.819
Sc 0.979 0.750 0.594
Zn 0.450 0.750 0.097
Zn 0.550 0.250 0.903
Ag 0.035 0.750 0.881
Ag 0.113 0.250 0.725
Ag 0.269 0.750 0.471
Ag 0.731 0.250 0.529
Ag 0.887 0.750 0.275
Ag 0.965 0.250 0.119

No. 11
Here is a relaxed SO crystal from Alexandria via LeMat-Bulk. Energies are from PBE.

Values from the calculation:
- V: 12.3 Å³/atom
- Formation energy (no corrections): 0.99 eV/atom
- Electronic total energy: -3.556 eV per atom
- Energy above the lowest structure with this stoichiometry: 1.5483 eV per atom

Cell: 4.613 4.613 4.613 Å, 90.00 90.00 90.00°
Element x y z (fractional)
S 0.000 0.000 0.000
S 0.000 0.500 0.500
S 0.500 0.000 0.500
S 0.500 0.500 0.000
O 0.000 0.000 0.500
O 0.000 0.500 0.000
O 0.500 0.000 0.000
O 0.500 0.500 0.500

No. 12
Here is a relaxed SrTa2BBr crystal from Alexandria via LeMat-Bulk. Energies are from PBE.

Values from the calculation:
- V: 24.1 Å³/atom
- Formation energy (no corrections): 0.44 eV/atom
- Electronic total energy: -6.309 eV per atom

Cell: 4.364 4.364 6.339 Å, 90.00 90.00 90.00°
Element x y z (fractional)
Sr 0.000 0.000 0.000
Ta 0.000 0.500 0.500
Ta 0.500 0.000 0.500
B 0.000 0.000 0.500
Br 0.500 0.500 0.000